Entry 1:
BSbTe2H | SCAN | single point on PBEsol structure

The structure in POSCAR format:
```
BSbTe2H
1.0
4.594 0.000 0.000
0.000 4.904 0.000
0.000 0.000 4.904
Sb B Te H
1 1 2 1
Cartesian
2.297 0.000 0.000 Sb
0.000 0.000 0.000 B
0.000 0.000 2.452 Te
0.000 2.452 0.000 Te
2.297 2.452 2.452 H
```

Results
* calculated total energy: -116.77 eV/cell
* magnetization: 0.76 μB per cell
* DOS(E_F): 0.597 states/eV per atom


Entry 2:
ScTaB2H | SCAN | single point on PBEsol structure

The structure in POSCAR format:
```
ScTaB2H
1.0
3.253 0.000 0.000
0.000 4.169 0.000
0.000 0.000 4.169
Sc H B Ta
1 1 2 1
Cartesian
0.000 0.000 0.000 Sc
1.627 0.000 0.000 H
0.000 0.000 2.085 B
0.000 2.085 0.000 B
1.627 2.085 2.085 Ta
```

Results
* calculated total energy: -94.22 eV/cell
* magnetization: 0.00 μB per cell
* DOS(E_F): 0.422 states/eV per atom


Entry 3:
BHSe2 | SCAN | single point on PBEsol structure

The structure in POSCAR format:
```
BHSe2
1.0
4.080 0.000 0.000
2.040 3.533 0.000
2.040 1.178 3.331
H B Se
1 1 2
Cartesian
0.000 0.000 0.000 H
4.080 2.355 1.666 B
2.040 1.178 0.833 Se
6.120 3.533 2.498 Se
```

Results
* calculated total energy: -45.43 eV/cell
* magnetization: 0.00 μB per cell
* DOS(E_F): 0.326 states/eV per atom
* polymorph energy (0 for the lowest one): 623 meV/atom


Entry 4:
BHSe2 | SCAN | single point on PBEsol structure

The structure in POSCAR format:
```
BHSe2
1.0
-2.213 2.383 -1.797
-3.324 -1.117 -1.229
-4.348 2.070 4.258
H B Se
1 1 2
Cartesian
-4.942 1.668 0.616 H
0.000 0.000 0.000 B
-6.288 1.760 -1.446 Se
-3.597 1.576 2.678 Se
```

Results
* calculated total energy: -47.92 eV/cell
* magnetization: 0.00 μB per cell
* DOS(E_F): 0.408 states/eV per atom
* polymorph energy (0 for the lowest one): 0 meV/atom


Entry 5:
SnBH3 | SCAN | single point on PBEsol structure

The structure in POSCAR format:
```
SnBH3
1.0
-0.489 -1.887 -3.308
3.782 -0.632 -0.199
-0.447 -3.284 1.940
H B Sn
3 1 1
Cartesian
1.891 -0.316 -0.099 H
-0.223 -1.642 0.970 H
-0.244 -0.944 -1.654 H
1.423 -2.901 -0.783 B
0.000 0.000 0.000 Sn
```

Results
* calculated total energy: -46.64 eV/cell
* magnetization: 0.00 μB per cell
* DOS(E_F): 0.362 states/eV per atom


Entry 6:
SrBH2 | SCAN | single point on PBEsol structure

The structure in POSCAR format:
```
SrBH2
1.0
-2.930 2.180 -1.623
-3.382 0.632 2.033
-0.816 3.638 1.440
Sr B H
1 1 2
Cartesian
-3.564 3.225 0.925 Sr
0.000 0.000 0.000 B
-1.782 1.612 0.463 H
-5.346 4.837 1.388 H
```

Results
* calculated total energy: -34.00 eV/cell
* magnetization: 0.97 μB per cell
* DOS(E_F): 0.231 states/eV per atom
* polymorph energy (0 for the lowest one): 267 meV/atom


Entry 7:
SrBH2 | SCAN | single point on PBEsol structure

The structure in POSCAR format:
```
SrBH2
1.0
-1.415 3.789 0.749
-2.176 -0.122 -3.488
-2.042 -3.753 3.830
Sr B H
2 2 4
Cartesian
0.000 0.000 0.000 Sr
-3.007 -1.021 -0.514 Sr
-1.795 1.833 -1.369 B
-2.626 0.934 1.605 B
-3.232 -0.493 2.033 H
-2.524 -2.387 1.658 H
-3.299 1.323 -1.626 H
-2.211 1.384 0.118 H
```

Results
* calculated total energy: -70.14 eV/cell
* magnetization: 0.00 μB per cell
* DOS(E_F): 0.394 states/eV per atom
* polymorph energy (0 for the lowest one): 0 meV/atom


Entry 8:
TcB2H2 | SCAN | single point on PBEsol structure

The structure in POSCAR format:
```
TcB2H2
1.0
-2.000 -1.865 -1.093
3.382 -3.362 -0.451
-0.963 -1.562 4.424
H B Tc
4 4 2
Cartesian
-0.111 -1.534 2.820 H
1.393 -3.518 3.453 H
2.530 -3.390 1.153 H
1.026 -1.406 0.520 H
-1.182 -2.322 2.157 B
0.265 -4.398 3.050 B
1.601 -4.467 0.723 B
0.154 -2.391 -0.170 B
0.000 0.000 0.000 Tc
1.209 -2.462 1.987 Tc
```

Results
* calculated total energy: -108.52 eV/cell
* magnetization: 1.60 μB per cell
* DOS(E_F): 0.129 states/eV per atom


Entry 9:
TiBH3 | SCAN | single point on PBEsol structure

The structure in POSCAR format:
```
TiBH3
1.0
-2.081 -0.771 -2.520
2.409 -1.859 -1.421
-1.068 -2.688 1.705
H B Ti
3 1 1
Cartesian
1.204 -0.929 -0.710 H
-0.534 -1.344 0.852 H
-1.041 -0.385 -1.260 H
-0.371 -2.659 -1.118 B
0.000 0.000 0.000 Ti
```

Results
* calculated total energy: -29.90 eV/cell
* magnetization: 0.01 μB per cell
* DOS(E_F): 0.442 states/eV per atom


Entry 10:
YBH2 | SCAN | single point on PBEsol structure

The structure in POSCAR format:
```
YBH2
1.0
3.828 0.000 0.000
0.000 3.828 0.000
-1.914 -1.914 4.957
Y H B
2 4 2
Cartesian
0.000 0.000 0.000 Y
0.000 1.914 2.478 Y
0.957 0.000 3.717 H
-0.957 0.000 3.717 H
1.914 2.871 1.239 H
1.914 0.957 1.239 H
1.914 1.914 0.000 B
1.914 0.000 2.478 B
```

Results
* calculated total energy: -83.22 eV/cell
* magnetization: 0.00 μB per cell
* DOS(E_F): 0.163 states/eV per atom


Entry 11:
YB3H12 | SCAN | single point on PBEsol structure

The structure in POSCAR format:
```
YB3H12
1.0
10.612 0.000 0.000
0.000 10.612 0.000
0.000 0.000 10.612
Y B H
8 24 96
Cartesian
8.330 7.588 3.024 Y
7.588 2.282 3.024 Y
3.024 7.588 2.282 Y
2.282 2.282 2.282 Y
2.282 3.024 7.588 Y
3.024 8.330 7.588 Y
8.330 8.330 8.330 Y
7.588 3.024 8.330 Y
2.691 0.371 7.303 B
2.615 10.241 1.997 B
2.691 4.935 1.997 B
4.935 3.309 7.997 B
8.615 7.921 5.677 B
0.371 8.615 7.997 B
7.921 10.241 3.309 B
0.371 7.303 2.691 B
7.997 4.935 3.309 B
10.241 3.309 7.921 B
2.615 5.677 7.303 B
5.677 8.615 7.921 B
7.303 2.615 5.677 B
10.241 1.997 2.615 B
1.997 2.691 4.935 B
7.921 5.677 8.615 B
1.997 2.615 10.241 B
5.677 7.303 2.615 B
3.309 7.921 10.241 B
3.309 7.997 4.935 B
7.303 2.691 0.371 B
4.935 1.997 2.691 B
8.615 7.997 0.371 B
7.997 0.371 8.615 B
2.922 5.669 1.029 H
3.613 1.188 7.366 H
9.730 3.496 9.028 H
3.496 9.028 9.730 H
8.802 6.890 0.883 H
7.957 5.527 2.228 H
0.883 7.116 1.584 H
7.690 4.943 9.583 H
7.690 0.363 4.277 H
1.693 9.424 2.060 H
9.730 1.810 3.722 H
7.366 1.693 6.494 H
7.116 1.584 0.883 H
0.883 8.802 6.890 H
4.424 3.496 6.890 H
2.651 5.527 3.078 H
3.078 2.655 0.221 H
1.188 7.366 3.613 H
3.722 6.189 7.116 H
8.384 2.651 10.391 H
3.078 2.651 5.527 H
9.583 7.690 4.943 H
4.277 7.690 0.363 H
8.552 8.919 1.188 H
6.494 8.552 6.999 H
7.961 0.221 2.228 H
5.085 8.384 2.655 H
5.527 3.078 2.651 H
1.584 0.883 7.116 H
1.693 6.494 7.366 H
2.651 10.391 8.384 H
1.584 4.424 1.810 H
5.669 4.277 8.228 H
2.060 3.613 4.118 H
2.655 5.085 8.384 H
7.366 3.613 1.188 H
6.890 0.883 8.802 H
8.919 1.188 8.552 H
10.249 9.583 8.228 H
3.496 6.890 4.424 H
8.228 5.669 4.277 H
7.961 5.085 7.534 H
5.527 2.228 7.957 H
6.189 7.116 3.722 H
6.999 9.424 3.246 H
2.655 0.221 3.078 H
5.669 1.029 2.922 H
4.943 9.583 7.690 H
6.335 2.922 10.249 H
7.534 7.957 10.391 H
9.424 2.060 1.693 H
2.384 4.943 6.335 H
6.999 6.494 8.552 H
0.363 1.029 2.384 H
1.188 8.552 8.919 H
9.028 9.730 3.496 H
6.335 2.384 4.943 H
1.029 2.384 0.363 H
8.228 10.249 9.583 H
7.534 7.961 5.085 H
9.028 6.189 8.802 H
4.118 2.060 3.613 H
8.552 6.999 6.494 H
4.424 1.810 1.584 H
10.249 6.335 2.922 H
0.221 3.078 2.655 H
0.221 2.228 7.961 H
2.060 1.693 9.424 H
4.277 8.228 5.669 H
10.391 8.384 2.651 H
7.957 10.391 7.534 H
6.890 4.424 3.496 H
6.189 8.802 9.028 H
3.246 6.999 9.424 H
1.029 2.922 5.669 H
3.246 8.919 4.118 H
8.802 9.028 6.189 H
8.384 2.655 5.085 H
4.943 6.335 2.384 H
2.228 7.961 0.221 H
10.391 7.534 7.957 H
6.494 7.366 1.693 H
2.384 0.363 1.029 H
2.228 7.957 5.527 H
3.722 9.730 1.810 H
4.118 3.246 8.919 H
9.424 3.246 6.999 H
5.085 7.534 7.961 H
2.922 10.249 6.335 H
8.919 4.118 3.246 H
1.810 3.722 9.730 H
7.116 3.722 6.189 H
9.583 8.228 10.249 H
1.810 1.584 4.424 H
3.613 4.118 2.060 H
0.363 4.277 7.690 H
```

Results
* calculated total energy: -777.82 eV/cell
* magnetization: 0.00 μB per cell
* DOS(E_F): 0.000 states/eV per atom


Entry 12:
ZnB2H8 | SCAN | single point on PBEsol structure

The structure in POSCAR format:
```
ZnB2H8
1.0
-3.983 -1.042 -0.448
0.034 -2.113 4.606
-2.192 6.991 3.223
H Zn B
16 2 4
Cartesian
-4.014 5.319 4.172 H
-3.038 -0.296 -0.017 H
-3.337 -0.545 2.460 H
-1.652 4.825 3.461 H
-0.817 1.795 3.086 H
-1.395 -0.037 2.678 H
-1.254 0.171 0.184 H
-0.537 0.153 4.414 H
-2.760 1.785 1.243 H
-2.490 3.381 4.460 H
-3.826 3.474 6.794 H
-2.905 1.001 4.353 H
-1.906 4.888 5.575 H
-4.101 1.160 6.042 H
-2.317 1.626 6.243 H
-4.431 2.873 4.241 H
-0.009 -0.547 1.351 Zn
-1.090 2.050 4.922 Zn
-2.992 0.813 5.568 B
-0.524 0.597 3.271 B
-1.622 4.248 4.543 B
-4.118 6.116 3.239 B
```

Results
* calculated total energy: -113.28 eV/cell
* magnetization: 0.00 μB per cell
* DOS(E_F): 0.000 states/eV per atom
* polymorph energy (0 for the lowest one): 13 meV/atom